The following is a PBE-GGA calculation of a relaxed NaNdEr2 crystal, from Alexandria.

Symmetry: P4/mmm, No. 123
Electronic total energy, eV/cell: -14.57
ΔE_f, eV per atom: 0.161
Energy above the lowest structure with this stoichiometry, meV/atom: 0.0

Geometry as POSCAR:
```
NaNdEr2
1.0
3.581 0.000 0.000
0.000 3.581 0.000
0.000 0.000 10.414
Na Nd Er
1 1 2
Cartesian
0.000 0.000 0.000
0.000 0.000 5.207
1.790 1.790 2.781
1.790 1.790 7.633
```